[1]
DFT (PBEsol) results for a geometry-optimized TiAs2SeBr structure.

It has space group P4/mmm (No. 123), with a = 4.9633 Å, b = 4.9633 Å, c = 4.9045 Å, α = 90.00°, β = 90.00° and γ = 90.00°. The inequivalent atoms are Ti at (0.0000, 0.0000, 0.0000), As at (0.0000, 0.5000, 0.5000), Se at (0.5000, 0.5000, 0.0000) and Br at (0.5000, 0.5000, 0.5000).

As for the uncorrected formation energy: 5.4 eV/f.u. The value obtained for the energy above the most stable polymorph in this dataset is 1.102 eV per atom.

=====

[2]
DFT (PBEsol) results for a geometry-optimized SrCuNiSn2 structure.

It has space group P4/mmm (No. 123), with a = 5.8017 Å, b = 5.8017 Å, c = 4.8977 Å, α = 90.00°, β = 90.00° and γ = 90.00°. The inequivalent atoms are Sr at (0.0000, 0.0000, 0.0000), Cu at (0.0000, 0.0000, 0.5000), Ni at (0.5000, 0.5000, 0.5000) and Sn at (0.0000, 0.5000, 0.0000).

Its total energy is -2.430 eV per atom.

=====

[3]
DFT (PBEsol) results for a geometry-optimized Tl2ZnCl structure.

It has space group I-4m2 (No. 119), with a = 4.3317 Å, b = 4.3317 Å, c = 10.7599 Å, α = 90.00°, β = 90.00° and γ = 90.00°. The inequivalent atoms are Tl at (0.0000, 0.0000, 0.0000), Tl at (0.0000, 0.5000, 0.2500), Zn at (0.0000, 0.0000, 0.5000) and Cl at (0.0000, 0.5000, 0.7500).

As for the uncorrected formation energy: -0.8 eV/f.u. The value obtained for the energy above the most stable polymorph in this dataset is 0.000 eV per atom.

=====

Magnetization readings, ordered: 1.21; 0.51; 0.00 μB per formula unit